Entry 1:
Density functional theory data (PBE-GGA) for a geometry-optimized Tl2ReW structure. Values from VASP.

Uncorrected energy: -6.13 eV per atom
Polymorph energy (0 for the lowest one): 864 meV per atom
DFT formation energy: 1405 meV/atom

Cell and atoms, written as Quantum ESPRESSO input:
```
&SYSTEM
  ibrav = 0, nat = 4, ntyp = 3
/
ATOMIC_SPECIES
Re 186.21 Re.upf
Tl 204.38 Tl.upf
W 183.84 W.upf
CELL_PARAMETERS angstrom
-0.050 2.265 -4.901
-2.428 -4.808 0.382
-2.541 1.334 0.643
ATOMIC_POSITIONS crystal
Re 0.000 0.500 0.500
Tl 0.000 0.000 0.000
Tl 0.500 0.500 0.000
W 0.500 0.000 0.500
```

---

Entry 2:
Density functional theory data (PBE-GGA) for a geometry-optimized In8Sn6Pb structure. Values from VASP.

Uncorrected energy: -3.25 eV per atom
DFT formation energy: 62 meV/atom

Cell and atoms, written as Quantum ESPRESSO input:
```
&SYSTEM
  ibrav = 0, nat = 15, ntyp = 3
/
ATOMIC_SPECIES
In 114.82 In.upf
Sn 118.71 Sn.upf
Pb 207.20 Pb.upf
CELL_PARAMETERS angstrom
8.383 0.000 4.818
2.807 7.899 4.818
1.219 0.860 7.581
ATOMIC_POSITIONS crystal
In 0.835 0.399 0.692
In 0.927 0.165 0.308
In 0.601 0.927 0.308
In 0.222 0.222 0.334
In 0.778 0.778 0.666
In 0.399 0.073 0.692
In 0.073 0.835 0.692
In 0.165 0.601 0.308
Sn 0.799 0.579 0.207
Sn 0.584 0.201 0.793
Sn 0.421 0.584 0.793
Sn 0.579 0.416 0.207
Sn 0.416 0.799 0.207
Sn 0.201 0.421 0.793
Pb 0.000 0.000 0.000
```

---

Entry 3:
Density functional theory data (PBE-GGA) for a geometry-optimized DyTmAl2 structure. Values from VASP.

Uncorrected energy: -4.53 eV per atom
DFT formation energy: -393 meV/atom

Cell and atoms, written as Quantum ESPRESSO input:
```
&SYSTEM
  ibrav = 0, nat = 4, ntyp = 3
/
ATOMIC_SPECIES
Tm 168.93 Tm.upf
Al 26.98 Al.upf
Dy 162.50 Dy.upf
CELL_PARAMETERS angstrom
-0.065 -1.818 -3.073
-2.122 -2.452 1.495
-5.743 3.707 -2.071
ATOMIC_POSITIONS crystal
Tm 0.500 0.500 0.000
Al 0.000 0.000 0.755
Al 0.000 0.000 0.245
Dy 0.500 0.500 0.500
```